Record 1
Here is a geometry-optimized LaEr2AlPd4 structure from Alexandria. Energies are from GGA-PBE.

Cell: 4.7829 4.7829 8.8423 Å, 74.31 74.31 60.00°
Last column: nearest neighbours and their distance in Å.
Element x y z (fractional)
Al 0.5000 0.5000 0.5000  8 Pd 2.60-2.91
Er 0.2405 0.2405 0.2785  7 Pd 2.78-2.92
Er 0.7595 0.7595 0.7215  7 Pd 2.78-2.92
Pd 0.3967 0.3967 0.8100  1 Al 2.60, 3 Er 2.86
Pd 0.1302 0.1302 0.6093  4 Er 2.78-2.92, 3 Al 2.91
Pd 0.6033 0.6033 0.1900  1 Al 2.60, 3 Er 2.86
Pd 0.8698 0.8698 0.3907  4 Er 2.78-2.92, 3 Al 2.91
La 0.0000 0.0000 0.0000  8 Pd 3.19-3.28

Calculated values
Its electronic total energy is -5.654 eV per atom. As for the total magnetic moment: 0.00 Bohr magnetons per cell. As for the space-group type: R-3m. Its theoretical density is 9.2 g/cm3.

=====

Record 2
Here is a geometry-optimized CrTe2I structure from Alexandria. Energies are from GGA-PBE.

Cell: 6.7546 8.7336 7.8579 Å, 135.78 95.23 66.86°
Last column: nearest neighbours and their distance in Å.
Element x y z (fractional)
Te 0.8396 0.0574 0.0133  2 Cr 2.63-2.70, 1 Te 2.92
Te 0.7916 0.5797 0.6795  1 Cr 2.69, 1 Te 2.88
Te 0.9460 0.4440 0.2089  1 Cr 2.65, 1 Te 2.92
Te 0.4220 0.9500 0.1397  1 Cr 2.52
I 0.2941 0.7400 0.4501  2 Cr 2.75-2.83
I 0.5118 0.2087 0.6811  1 Cr 2.59
Cr 0.3871 0.2449 0.1347  1 Cr 1.93
Cr 0.5327 0.9701 0.7712  1 Cr 1.93

Calculated values
Its electronic total energy is -4.317 eV per atom. As for the total magnetic moment: 0.00 Bohr magnetons per cell. As for the energy above the most stable polymorph in this dataset: 260 meV/atom. The value obtained for the uncorrected formation energy is 47 meV per atom. As for the space-group type: P1. Its theoretical density is 5.1 g/cm3.